Record 1
Here is Dy2HoTmBi4 after structural relaxation from Alexandria via LeMat-Bulk. Energies are from PBE.

Space group   P2/m
E_tot   -5.056 eV/atom

Cell lengths 4.461, 7.721, 7.720 Å; angles 109.47, 90.00, 90.00 degrees
Atoms (fractional coordinates):
Ho (0.000, 0.000, 0.000)
Dy (0.500, 0.000, 0.500)
Dy (0.000, 0.500, 0.500)
Bi (0.500, 0.250, 0.248)
Bi (0.000, 0.252, 0.752)
Bi (0.000, 0.748, 0.248)
Bi (0.500, 0.750, 0.752)
Tm (0.500, 0.500, 0.000)

***

Record 2
Here is Dy2HoTm3Bi6 after structural relaxation from Alexandria via LeMat-Bulk. Energies are from PBE.

Space group   C2/m
E_tot   -5.024 eV/atom

Cell lengths 4.448, 8.898, 9.945 Å; angles 102.85, 102.92, 90.00 degrees
Atoms (fractional coordinates):
Bi (0.666, 0.585, 0.332)
Bi (0.001, 0.749, 0.002)
Bi (0.999, 0.251, 0.998)
Bi (0.333, 0.919, 0.666)
Bi (0.667, 0.081, 0.334)
Bi (0.334, 0.415, 0.668)
Tm (0.833, 0.167, 0.666)
Tm (0.500, 0.500, 0.000)
Tm (0.167, 0.833, 0.334)
Dy (0.167, 0.333, 0.333)
Dy (0.833, 0.667, 0.667)
Ho (0.500, 0.000, 0.000)

***

Record 3
Here is DyHo3Tm2Bi6 after structural relaxation from Alexandria via LeMat-Bulk. Energies are from PBE.

Space group   C2/m
E_tot   -5.036 eV/atom

Cell lengths 4.450, 8.902, 9.950 Å; angles 102.86, 102.92, 90.00 degrees
Atoms (fractional coordinates):
Bi (0.667, 0.582, 0.334)
Bi (0.001, 0.251, 0.001)
Bi (0.667, 0.085, 0.334)
Bi (0.333, 0.418, 0.666)
Bi (0.333, 0.915, 0.666)
Bi (0.999, 0.749, 0.999)
Tm (0.167, 0.333, 0.334)
Tm (0.833, 0.667, 0.666)
Ho (0.834, 0.167, 0.668)
Ho (0.166, 0.833, 0.332)
Ho (0.500, 0.500, 0.000)
Dy (0.500, 0.000, 0.000)

***

Record 4
Here is Dy3Ho2TmBi6 after structural relaxation from Alexandria via LeMat-Bulk. Energies are from PBE.

Space group   C2/m
E_tot   -5.065 eV/atom

Cell lengths 4.459, 8.921, 9.970 Å; angles 102.85, 102.92, 90.00 degrees
Atoms (fractional coordinates):
Bi (0.667, 0.582, 0.334)
Bi (0.000, 0.248, 0.000)
Bi (0.000, 0.752, 0.000)
Bi (0.666, 0.083, 0.332)
Bi (0.334, 0.917, 0.668)
Bi (0.333, 0.418, 0.666)
Tm (0.500, 0.000, 0.000)
Dy (0.167, 0.833, 0.334)
Dy (0.500, 0.500, 0.000)
Dy (0.833, 0.167, 0.666)
Ho (0.167, 0.333, 0.333)
Ho (0.833, 0.667, 0.667)

***

Number 1: E_form -833 meV/atom, DOS(E_F) 0.16 states/eV/atom. Number 2: E_form -817 meV/atom, DOS(E_F) 0.17 states/eV/atom. Number 3: E_form -822 meV/atom, DOS(E_F) 0.17 states/eV/atom. Number 4: E_form -839 meV/atom, DOS(E_F) 0.17 states/eV/atom.